TiMo2Se4Cl2: optimized geometry, PBE.

Cell: 3.3138 3.3138 22.8303 Å, 90.00 90.00 120.00°
Last column: nearest neighbours and their distance in Å.
Fractional coordinates of all 9 atoms:
1 Ti 0.0000 0.0000 0.0000  6 Cl 2.48
2 Mo 0.0000 0.0000 0.6638  6 Se 2.54
3 Mo 0.6667 0.3333 0.3158  6 Se 2.54
4 Se 0.0000 0.0000 0.2424  3 Mo 2.54
5 Se 0.0000 0.0000 0.3893  3 Mo 2.54
6 Se 0.6667 0.3333 0.5903  3 Mo 2.54
7 Se 0.6667 0.3333 0.7372  3 Mo 2.54
8 Cl 0.6667 0.3333 0.0690  3 Ti 2.48
9 Cl 0.6667 0.3333 0.9310  3 Ti 2.48

Results
Final energy in eV per atom: -6.20

***

Zr2MoSeCl: optimized geometry, PBE.

Cell: 5.1471 5.1471 4.5526 Å, 90.00 90.00 90.00°
Last column: nearest neighbours and their distance in Å.
Fractional coordinates of all 5 atoms:
1 Zr 0.0000 0.5000 0.0000  2 Se 2.57
2 Zr 0.5000 0.0000 0.0000  2 Se 2.57
3 Mo 0.0000 0.0000 0.5000  2 Se 2.28
4 Se 0.0000 0.0000 0.0000  2 Mo 2.28
5 Cl 0.5000 0.5000 0.5000  8 Zr 3.44, 4 Mo 3.64

Results
Final energy in eV per atom: -6.14

***

Si2MoCl: optimized geometry, PBE.

Cell: 4.7689 4.7689 2.8106 Å, 90.00 90.00 103.46°
Last column: nearest neighbours and their distance in Å.
Fractional coordinates of all 4 atoms:
1 Si 0.0000 0.5000 0.0000  4 Cl 2.77, 4 Mo 2.77, 4 Si 2.81-2.95
2 Si 0.5000 0.0000 0.0000  4 Cl 2.77, 4 Mo 2.77, 4 Si 2.81-2.95
3 Mo 0.0000 0.0000 0.5000  8 Si 2.77, 2 Mo 2.81, 2 Cl 2.95
4 Cl 0.5000 0.5000 0.5000  8 Si 2.77, 2 Cl 2.81, 2 Mo 2.95

Results
Final energy in eV per atom: -5.42

***

Si2MoCl: optimized geometry, PBE.

Cell: 4.9091 4.9091 4.9091 Å, 133.27 133.27 68.23°
Last column: nearest neighbours and their distance in Å.
Fractional coordinates of all 4 atoms:
1 Si 0.2500 0.7500 0.5000  4 Si 2.75, 4 Cl 2.81, 4 Mo 2.81
2 Si 0.7500 0.2500 0.5000  4 Si 2.75, 4 Cl 2.81, 4 Mo 2.81
3 Mo 0.0000 0.0000 0.0000  4 Cl 2.75, 8 Si 2.81
4 Cl 0.5000 0.5000 0.0000  4 Mo 2.75, 8 Si 2.81

Results
Final energy in eV per atom: -5.29

***

SiMoCl3: optimized geometry, PBE.

Cell: 5.0233 5.0233 5.0233 Å, 90.00 90.00 90.00°
Last column: nearest neighbours and their distance in Å.
Fractional coordinates of all 5 atoms:
1 Si 0.0000 0.0000 0.0000  12 Cl 3.55
2 Mo 0.5000 0.5000 0.5000  6 Cl 2.51
3 Cl 0.0000 0.5000 0.5000  2 Mo 2.51
4 Cl 0.5000 0.0000 0.5000  2 Mo 2.51
5 Cl 0.5000 0.5000 0.0000  2 Mo 2.51

Results
Final energy in eV per atom: -4.05

***

Si2MoCl: optimized geometry, PBE.

Cell: 4.8757 4.8757 2.7127 Å, 90.00 90.00 90.00°
Last column: nearest neighbours and their distance in Å.
Fractional coordinates of all 4 atoms:
1 Si 0.0000 0.5000 0.0000  2 Si 2.71, 4 Cl 2.79, 4 Mo 2.79
2 Si 0.5000 0.0000 0.0000  2 Si 2.71, 4 Cl 2.79, 4 Mo 2.79
3 Mo 0.0000 0.0000 0.5000  2 Mo 2.71, 8 Si 2.79
4 Cl 0.5000 0.5000 0.5000  2 Cl 2.71, 8 Si 2.79

Results
Final energy in eV per atom: -5.45

***

Si4MoCl: optimized geometry, PBE.

Cell: 5.0550 5.0550 5.0550 Å, 60.00 60.00 60.00°
Last column: nearest neighbours and their distance in Å.
Fractional coordinates of all 6 atoms:
1 Si 0.1237 0.1237 0.1237  6 Si 2.50-2.55
2 Si 0.1237 0.1237 0.6290  6 Si 2.50-2.55
3 Si 0.1237 0.6290 0.1237  6 Si 2.50-2.55
4 Si 0.6290 0.1237 0.1237  6 Si 2.50-2.55
5 Mo 0.5000 0.5000 0.5000  12 Si 2.97, 4 Cl 3.10
6 Cl 0.7500 0.7500 0.7500  12 Si 2.96, 4 Mo 3.10

Results
Final energy in eV per atom: -5.15

***

SiMoCl4: optimized geometry, PBE.

Cell: 5.7971 5.7971 5.7971 Å, 60.00 60.00 60.00°
Last column: nearest neighbours and their distance in Å.
Fractional coordinates of all 6 atoms:
1 Si 0.0000 0.0000 0.0000  12 Cl 3.40, 4 Mo 3.55
2 Mo 0.2500 0.2500 0.2500  12 Cl 3.40, 4 Si 3.55
3 Cl 0.1277 0.6241 0.6241  6 Cl 2.88-2.92
4 Cl 0.6241 0.1277 0.6241  6 Cl 2.88-2.92
5 Cl 0.6241 0.6241 0.1277  6 Cl 2.88-2.92
6 Cl 0.6241 0.6241 0.6241  6 Cl 2.88-2.92

Results
Final energy in eV per atom: -2.75

***

Si2MoCl: optimized geometry, PBE.

Cell: 2.9942 2.9942 7.8625 Å, 90.00 90.00 110.01°
Last column: nearest neighbours and their distance in Å.
Fractional coordinates of all 4 atoms:
1 Si 0.0000 0.0000 0.2288  2 Mo 2.49, 2 Cl 2.74
2 Si 0.0000 0.0000 0.7712  2 Mo 2.49, 2 Cl 2.74
3 Mo 0.5000 0.5000 0.0000  4 Si 2.49
4 Cl 0.5000 0.5000 0.5000  4 Si 2.74, 4 Cl 2.99

Results
Final energy in eV per atom: -5.61

***

Si2MoCl: optimized geometry, PBE.

Cell: 3.1026 3.1026 7.8280 Å, 90.00 90.00 90.00°
Last column: nearest neighbours and their distance in Å.
Fractional coordinates of all 4 atoms:
1 Si 0.0000 0.0000 0.0000  4 Si 2.54, 4 Mo 2.58
2 Si 0.5000 0.5000 0.1625  4 Si 2.54, 1 Mo 2.63
3 Mo 0.5000 0.5000 0.8271  5 Si 2.58-2.63, 4 Cl 2.76
4 Cl 0.0000 0.0000 0.6127  4 Mo 2.76, 1 Si 3.03

Results
Final energy in eV per atom: -5.81

***

SiMoCl: optimized geometry, PBE.

Cell: 3.3190 3.4438 10.4749 Å, 94.33 94.27 90.83°
Last column: nearest neighbours and their distance in Å.
Fractional coordinates of all 6 atoms:
1 Si 0.0000 0.0000 0.0000  6 Mo 2.48-2.54
2 Si 0.0561 0.5453 0.2451  1 Cl 2.22, 1 Mo 2.45
3 Mo 0.4819 0.4803 0.9248  2 Cl 2.49, 4 Si 2.49-2.54
4 Mo 0.5354 0.0265 0.1786  6 Si 2.45-2.51, 1 Cl 2.73
5 Cl 0.3658 0.8542 0.4196  1 Si 2.22
6 Cl 0.9396 0.4351 0.7467  2 Mo 2.49

Results
Final energy in eV per atom: -6.42

***

Si2MoCl: optimized geometry, PBE.

Cell: 6.2275 6.2275 6.2275 Å, 154.58 139.00 48.85°
Last column: nearest neighbours and their distance in Å.
Fractional coordinates of all 4 atoms:
1 Si 0.2046 0.2046 0.0000  2 Mo 2.69, 6 Si 2.74-2.77
2 Si 0.7954 0.7954 0.0000  2 Mo 2.69, 6 Si 2.74-2.77
3 Mo 0.0000 0.5000 0.5000  4 Cl 2.58, 4 Si 2.69, 2 Mo 2.74
4 Cl 0.5000 0.0000 0.5000  4 Mo 2.58, 2 Cl 2.74

Results
Final energy in eV per atom: -5.46

***

SiMoCl: optimized geometry, PBE.

Cell: 11.6430 11.6430 3.1855 Å, 90.19 90.19 15.43°
Last column: nearest neighbours and their distance in Å.
Fractional coordinates of all 6 atoms:
1 Si 0.0000 0.0000 0.0000  8 Mo 2.61-2.67, 1 Si 2.76
2 Si 0.1197 0.1197 0.0028  1 Cl 2.06
3 Mo 0.4409 0.4409 0.4985  2 Cl 2.41, 4 Si 2.61
4 Mo 0.5632 0.5632 0.5015  8 Si 2.58-2.67, 1 Mo 2.82
5 Cl 0.2089 0.2089 0.0051  1 Si 2.06
6 Cl 0.8613 0.8613 0.4963  2 Mo 2.41

Results
Final energy in eV per atom: -6.42

***

Si2MoCl: optimized geometry, PBE.

Cell: 9.3927 9.3927 9.3927 Å, 18.22 18.22 18.22°
Last column: nearest neighbours and their distance in Å.
Fractional coordinates of all 4 atoms:
1 Si 0.0000 0.0000 0.0000  3 Si 2.60
2 Si 0.2628 0.2628 0.2628  3 Si 2.60, 3 Mo 2.67
3 Mo 0.5224 0.5224 0.5224  3 Cl 2.46, 3 Si 2.67
4 Cl 0.7923 0.7923 0.7923  3 Mo 2.46

Results
Final energy in eV per atom: -5.76

***

no.,ΔE_f (raw) (eV/atom),M_tot (μB/atom)
1,-0.958,0.00
2,0.516,0.00
3,0.466,0.00
4,0.589,0.00
5,0.308,1.00
6,0.427,0.00
7,0.576,0.00
8,1.193,0.95
9,0.274,0.00
10,0.071,0.00
11,-0.382,0.00
12,0.422,0.00
13,-0.391,0.11
14,0.123,0.00